1.
This record from the Alexandria database describes a relaxed LiScIn2Ni crystal. The functional is PBE.

```
data_LiScIn2Ni
_chemical_formula_sum 'Li1 Sc1 In2 Ni1'
_cell_length_a 5.451
_cell_length_b 5.451
_cell_length_c 4.963
_cell_angle_alpha 90.00
_cell_angle_beta 90.00
_cell_angle_gamma 90.00
_symmetry_space_group_name_H-M 'P 4/m m m'
_symmetry_Int_Tables_number 123
_symmetry_space_group_name_Hall '-P 4 2'
loop_
_atom_site_label
_atom_site_fract_x
_atom_site_fract_y
_atom_site_fract_z
Li1 0.000 0.000 0.000
Sc1 0.000 0.000 0.500
In1 0.000 0.500 0.500
Ni1 0.500 0.500 0.000
```

Results
Formation enthalpy at 0 K (meV per atom): 1164
Density of states at the Fermi level (states/eV per cell): 7.17
VASP energy (eV/atom): -2.74

=====

2.
This record from the Alexandria database describes a relaxed YGa4CoCu2 crystal. The functional is PBE.

```
data_YGa4CoCu2
_chemical_formula_sum 'Y3 Ga12 Co3 Cu6'
_cell_length_a 4.1226
_cell_length_b 4.1226
_cell_length_c 26.1573
_cell_angle_alpha 90.00
_cell_angle_beta 90.00
_cell_angle_gamma 120.00
_symmetry_space_group_name_H-M 'R -3 m'
_symmetry_Int_Tables_number 166
_symmetry_space_group_name_Hall '-R 3 2"'
loop_
_atom_site_label
_atom_site_fract_x
_atom_site_fract_y
_atom_site_fract_z
Y1 0.0000 0.0000 0.0000
Ga1 0.0000 0.0000 0.1330
Ga2 0.0000 0.0000 0.4031
Co1 0.0000 0.0000 0.5000
Cu1 0.0000 0.0000 0.2356
```

Results
Formation enthalpy at 0 K (meV per atom): -298
Density of states at the Fermi level (states/eV per cell): 13.40
VASP energy (eV/atom): -4.53

=====

3.
This record from the Alexandria database describes a relaxed Nd8Dy6Pu crystal. The functional is PBE.

```
data_Nd8Dy6Pu
_chemical_formula_sum 'Nd8 Dy6 Pu1'
_cell_length_a 9.9416
_cell_length_b 9.9416
_cell_length_c 5.9170
_cell_angle_alpha 90.00
_cell_angle_beta 90.00
_cell_angle_gamma 120.00
_symmetry_space_group_name_H-M 'P 3'
_symmetry_Int_Tables_number 143
_symmetry_space_group_name_Hall 'P 3'
loop_
_atom_site_label
_atom_site_fract_x
_atom_site_fract_y
_atom_site_fract_z
Nd1 0.0000 0.0000 0.0000
Nd2 0.0676 0.6154 0.4729
Nd3 0.1181 0.4001 0.9932
Nd4 0.6667 0.3333 0.4662
Dy1 0.2394 0.0488 0.4850
Dy2 0.4274 0.2853 0.9810
Pu1 0.3333 0.6667 0.7347
```

Results
Formation enthalpy at 0 K (meV per atom): 135
Density of states at the Fermi level (states/eV per cell): 21.81
VASP energy (eV/atom): -5.20

=====

4.
This record from the Alexandria database describes a relaxed Zr4C5 crystal. The functional is PBE.

```
data_Zr4C5
_chemical_formula_sum 'Zr8 C10'
_cell_length_a 8.774
_cell_length_b 8.774
_cell_length_c 2.936
_cell_angle_alpha 90.00
_cell_angle_beta 90.00
_cell_angle_gamma 90.00
_symmetry_space_group_name_H-M 'I 4/m m m'
_symmetry_Int_Tables_number 139
_symmetry_space_group_name_Hall '-I 4 2'
loop_
_atom_site_label
_atom_site_fract_x
_atom_site_fract_y
_atom_site_fract_z
Zr1 0.000 0.252 0.000
C1 0.000 0.000 0.000
C2 0.221 0.221 0.500
```

Results
Formation enthalpy at 0 K (meV per atom): 36
Density of states at the Fermi level (states/eV per cell): 5.67
VASP energy (eV/atom): -8.89
Distance to the lowest polymorph of the same formula (kJ/mol of formula units): 0

=====

5.
This record from the Alexandria database describes a relaxed Sb3WI crystal. The functional is PBE.

```
data_Sb3WI
_chemical_formula_sum 'Sb3 W1 I1'
_cell_length_a 5.639
_cell_length_b 5.639
_cell_length_c 5.639
_cell_angle_alpha 90.00
_cell_angle_beta 90.00
_cell_angle_gamma 90.00
_symmetry_space_group_name_H-M 'P m -3 m'
_symmetry_Int_Tables_number 221
_symmetry_space_group_name_Hall '-P 4 2 3'
loop_
_atom_site_label
_atom_site_fract_x
_atom_site_fract_y
_atom_site_fract_z
Sb1 0.000 0.000 0.500
W1 0.500 0.500 0.500
I1 0.000 0.000 0.000
```

Results
Density of states at the Fermi level (states/eV per cell): 3.25
Energy relative to the elements, uncorrected (meV/atom): 2137.1
VASP energy (eV/atom): -3.24
Distance to the lowest polymorph of the same formula (kJ/mol of formula units): 831

=====

6.
This record from the Alexandria database describes a relaxed HoGaIr2 crystal. The functional is PBE.

```
data_HoGaIr2
_chemical_formula_sum 'Ho4 Ga4 Ir8'
_cell_length_a 5.645
_cell_length_b 7.340
_cell_length_c 8.448
_cell_angle_alpha 90.00
_cell_angle_beta 90.00
_cell_angle_gamma 90.00
_symmetry_space_group_name_H-M 'P m m a'
_symmetry_Int_Tables_number 51
_symmetry_space_group_name_Hall '-P 2a 2a'
loop_
_atom_site_label
_atom_site_fract_x
_atom_site_fract_y
_atom_site_fract_z
Ho1 0.250 0.000 0.187
Ho2 0.250 0.500 0.282
Ga1 0.250 0.000 0.761
Ga2 0.250 0.500 0.768
Ir1 0.000 0.000 0.500
Ir2 0.000 0.500 0.000
Ir3 0.250 0.298 0.540
```

Results
Formation enthalpy at 0 K (meV per atom): -67
Density of states at the Fermi level (states/eV per cell): 12.01
VASP energy (eV/atom): -6.40

=====

7.
This record from the Alexandria database describes a relaxed VFeCuRh crystal. The functional is PBE.

```
data_VFeCuRh
_chemical_formula_sum 'V4 Fe4 Cu4 Rh4'
_cell_length_a 5.875
_cell_length_b 5.875
_cell_length_c 5.875
_cell_angle_alpha 90.00
_cell_angle_beta 90.00
_cell_angle_gamma 90.00
_symmetry_space_group_name_H-M 'F -4 3 m'
_symmetry_Int_Tables_number 216
_symmetry_space_group_name_Hall 'F -4 2 3'
loop_
_atom_site_label
_atom_site_fract_x
_atom_site_fract_y
_atom_site_fract_z
V1 0.000 0.000 0.000
Fe1 0.250 0.250 0.750
Cu1 0.000 0.000 0.500
Rh1 0.250 0.250 0.250
```

Results
Formation enthalpy at 0 K (meV per atom): -80
Density of states at the Fermi level (states/eV per cell): 12.23
VASP energy (eV/atom): -7.34

=====

8.
This record from the Alexandria database describes a relaxed SrIrOs crystal. The functional is PBE.

```
data_SrIrOs
_chemical_formula_sum 'Sr2 Ir2 Os2'
_cell_length_a 2.943
_cell_length_b 2.943
_cell_length_c 13.392
_cell_angle_alpha 90.00
_cell_angle_beta 90.00
_cell_angle_gamma 90.00
_symmetry_space_group_name_H-M 'I 4 m m'
_symmetry_Int_Tables_number 107
_symmetry_space_group_name_Hall 'I 4 -2'
loop_
_atom_site_label
_atom_site_fract_x
_atom_site_fract_y
_atom_site_fract_z
Sr1 0.000 0.000 0.000
Ir1 0.000 0.000 0.692
Os1 0.000 0.000 0.308
```

Results
Formation enthalpy at 0 K (meV per atom): 428
Density of states at the Fermi level (states/eV per cell): 5.06
VASP energy (eV/atom): -6.83
Distance to the lowest polymorph of the same formula (kJ/mol of formula units): 102

=====

no.,mass density (g cm⁻³)
1,3.8
2,7.2
3,7.8
4,6.2
5,6.3
6,11.7
7,9.0
8,13.5